Density functional theory data (PBE) for crystalline Zn2NiP at its relaxed geometry.

Results
The final energy is -13.481 eV per formula unit.

Unit cell a=2.666 b=2.666 c=7.864 alpha=90.00 beta=90.00 gamma=90.00
Space group P4/mmm (No. 123)
Symmetry-distinct sites (fractional):
Zn  0.000  0.000  0.214 [2 per cell]
Ni  0.500  0.500  0.000 [1 per cell]
P  0.500  0.500  0.500 [1 per cell]

Density functional theory data (PBE) for crystalline Zn2NiP at its relaxed geometry.

Results
The final energy is -13.982 eV per formula unit.

Unit cell a=7.607 b=2.782 c=6.374 alpha=90.00 beta=110.95 gamma=90.00
Space group Cm (No. 8)
Symmetry-distinct sites (fractional):
Zn  0.000  0.000  0.000 [2 per cell]
Zn  0.219  0.500  0.331 [2 per cell]
Ni  0.466  0.000  0.631 [2 per cell]
P  0.201  0.000  0.698 [2 per cell]

Density functional theory data (PBE) for crystalline Zn2NiP at its relaxed geometry.

Results
The final energy is -13.173 eV per formula unit.

Unit cell a=6.027 b=6.027 c=6.027 alpha=90.00 beta=90.00 gamma=90.00
Space group F-43m (No. 216)
Symmetry-distinct sites (fractional):
Zn  0.000  0.000  0.000 [4 per cell]
Zn  0.250  0.250  0.250 [4 per cell]
Ni  0.250  0.250  0.750 [4 per cell]
P  0.000  0.000  0.500 [4 per cell]

Density functional theory data (PBE) for crystalline ZnNi6P at its relaxed geometry.

Results
The final energy is -43.052 eV per formula unit.

Unit cell a=3.9844 b=3.9844 c=19.4630 alpha=90.00 beta=90.00 gamma=120.00
Space group R-3m (No. 166, hexagonal axes)
Symmetry-distinct sites (fractional):
Zn  0.0000  0.0000  0.0000 [3 per cell]
Ni  0.0000  0.0000  0.1327 [6 per cell]
Ni  0.0000  0.0000  0.2604 [6 per cell]
Ni  0.0000  0.0000  0.3885 [6 per cell]
P  0.0000  0.0000  0.5000 [3 per cell]

Density functional theory data (PBE) for crystalline ZnNi2P at its relaxed geometry.

Results
The final energy is -18.944 eV per formula unit.

Unit cell a=5.716 b=5.716 c=5.716 alpha=90.00 beta=90.00 gamma=90.00
Space group Fm-3m (No. 225)
Symmetry-distinct sites (fractional):
Zn  0.000  0.000  0.000 [4 per cell]
Ni  0.250  0.250  0.250 [8 per cell]
P  0.000  0.000  0.500 [4 per cell]

Density functional theory data (PBE) for crystalline ZnNi2P at its relaxed geometry.

Results
The final energy is -18.058 eV per formula unit.

Unit cell a=5.789 b=5.789 c=5.789 alpha=90.00 beta=90.00 gamma=90.00
Space group F-43m (No. 216)
Symmetry-distinct sites (fractional):
Zn  0.000  0.000  0.000 [4 per cell]
Ni  0.000  0.000  0.500 [4 per cell]
Ni  0.250  0.250  0.250 [4 per cell]
P  0.250  0.250  0.750 [4 per cell]

Density functional theory data (PBE) for crystalline Zn2Ni2P at its relaxed geometry.

Results
The final energy is -18.958 eV per formula unit.

Unit cell a=3.282 b=3.282 c=12.546 alpha=90.00 beta=90.00 gamma=90.00
Space group I4/mmm (No. 139)
Symmetry-distinct sites (fractional):
Zn  0.000  0.500  0.250 [4 per cell]
Ni  0.000  0.000  0.093 [4 per cell]
P  0.000  0.000  0.500 [2 per cell]

Density functional theory data (PBE) for crystalline Zn2NiP at its relaxed geometry.

Results
The final energy is -13.221 eV per formula unit.

Unit cell a=2.8183 b=2.8183 c=24.2502 alpha=90.00 beta=90.00 gamma=120.00
Space group R-3m (No. 166, hexagonal axes)
Symmetry-distinct sites (fractional):
Zn  0.0000  0.0000  0.2447 [6 per cell]
Ni  0.0000  0.0000  0.5000 [3 per cell]
P  0.0000  0.0000  0.0000 [3 per cell]

Density functional theory data (PBE) for crystalline ZnNi2P at its relaxed geometry.

Results
The final energy is -19.101 eV per formula unit.

Unit cell a=2.7281 b=2.7281 c=22.4406 alpha=90.00 beta=90.00 gamma=120.00
Space group R-3m (No. 166, hexagonal axes)
Symmetry-distinct sites (fractional):
Zn  0.0000  0.0000  0.0000 [3 per cell]
Ni  0.0000  0.0000  0.2406 [6 per cell]
P  0.0000  0.0000  0.5000 [3 per cell]

Density functional theory data (PBE) for crystalline Zn2NiP at its relaxed geometry.

Results
The final energy is -14.129 eV per formula unit.

Unit cell a=3.543 b=3.545 c=9.081 alpha=90.00 beta=90.00 gamma=90.00
Space group Amm2 (No. 38)
Symmetry-distinct sites (fractional):
Zn  0.000  0.000  0.000 [2 per cell]
Zn  0.500  0.000  0.311 [2 per cell]
Ni  0.000  0.000  0.723 [2 per cell]
P  0.500  0.000  0.581 [2 per cell]

Density functional theory data (PBE) for crystalline Zn2NiP at its relaxed geometry.

Results
The final energy is -13.772 eV per formula unit.

Unit cell a=3.433 b=3.883 c=8.257 alpha=90.00 beta=90.00 gamma=90.00
Space group Imm2 (No. 44)
Symmetry-distinct sites (fractional):
Zn  0.000  0.000  0.000 [2 per cell]
Zn  0.000  0.500  0.225 [2 per cell]
Ni  0.000  0.000  0.459 [2 per cell]
P  0.000  0.500  0.775 [2 per cell]

Density functional theory data (PBE) for crystalline ZnNi2P at its relaxed geometry.

Results
The final energy is -19.000 eV per formula unit.

Unit cell a=4.083 b=2.739 c=8.794 alpha=90.00 beta=90.00 gamma=90.00
Space group Amm2 (No. 38)
Symmetry-distinct sites (fractional):
Zn  0.000  0.000  0.000 [2 per cell]
Ni  0.000  0.000  0.263 [2 per cell]
Ni  0.500  0.000  0.638 [2 per cell]
P  0.500  0.000  0.353 [2 per cell]

What are the total magnetization values for these records? In order: 0.000 0.000 0.000 0.000 0.000 0.000 0.000 0.185 0.000 0.000 0.000 0.000 μB/f.u..
What are the ΔE_f values for these records? In order: 0.065 -0.061 0.142 -0.210 -0.174 0.047 0.112 0.130 -0.214 -0.097 -0.008 -0.188 eV/atom.